Computed, not measured: an optimized crystal structure of CsPuSO at the GGA-PBE level of DFT.

```
CsPuSO
1.0
3.307 -1.909 0.000
3.307 1.909 0.000
-2.193 0.000 7.733
Cs Pu S O
1 1 1 1
direct
0.000 0.000 0.000 Cs
0.157 0.157 0.469 Pu
0.563 0.563 0.688 S
0.785 0.785 0.353 O
```

## Properties
Total DFT energy (no corrections) = -7.922 eV per atom
Space group = No. 8
N(E_F) = 6.3 states/eV/f.u.
ΔE_f (raw) = -1.85 eV/atom
Spin magnetization = 5.0 μB per cell